Entry 1:
Below is Er7ScCd4 after structural relaxation, with properties calculated at the PBE-GGA level.

- total DFT energy (no corrections) (eV/atom) = -3.48
- SG = No. 12

Unit cell a=5.5805 b=8.8819 c=7.7898 alpha=70.24 beta=69.01 gamma=71.69
Last column: nearest neighbours and their distance in Å.
Fractional positions:
1 Cd 0.5449 0.2894 0.6209  4 Er 2.95-3.18, 1 Cd 3.02
2 Cd 0.3205 0.3441 0.0150  5 Er 2.93-3.12, 1 Cd 3.02
3 Cd 0.6795 0.6559 0.9850  5 Er 2.93-3.12, 1 Cd 3.02
4 Cd 0.4551 0.7106 0.3791  4 Er 2.95-3.18, 1 Cd 3.02
5 Er 0.9275 0.4146 0.7304  5 Cd 3.08-3.43, 2 Er 3.29-3.39
6 Er 0.5000 0.0000 0.0000  2 Sc 2.79, 2 Cd 2.93
7 Er 0.7949 0.8810 0.5292  4 Cd 3.37-3.67, 6 Er 3.40-3.68, 1 Sc 3.72
8 Er 0.2051 0.1190 0.4708  4 Cd 3.37-3.67, 6 Er 3.40-3.68, 1 Sc 3.72
9 Er 0.7448 0.2976 0.2128  4 Cd 2.95-3.12, 1 Sc 3.27
10 Er 0.0725 0.5854 0.2696  5 Cd 3.08-3.43, 2 Er 3.29-3.39
11 Er 0.2552 0.7024 0.7872  4 Cd 2.95-3.12, 1 Sc 3.27
12 Sc 0.0000 0.0000 0.0000  2 Er 2.79

---

Entry 2:
Below is ErSc2Cd8 after structural relaxation, with properties calculated at the PBE-GGA level.

- total DFT energy (no corrections) (eV/atom) = -2.40
- SG = No. 12

Unit cell a=5.2645 b=6.1448 c=8.7295 alpha=110.06 beta=106.92 gamma=91.71
Last column: nearest neighbours and their distance in Å.
Fractional positions:
1 Cd 0.7475 0.5164 0.0000  4 Cd 2.61-2.92
2 Cd 0.2992 0.7992 0.5984  6 Cd 3.04-3.26, 4 Sc 3.08-3.16, 1 Er 3.12
3 Cd 0.1465 0.8998 0.2684  5 Cd 2.89-3.09, 3 Sc 3.14-3.21
4 Cd 0.8780 0.6314 0.7316  5 Cd 2.89-3.09, 3 Sc 3.14-3.21
5 Cd 0.7008 0.2008 0.4016  6 Cd 3.04-3.26, 4 Sc 3.08-3.16, 1 Er 3.12
6 Cd 0.8535 0.1002 0.7316  5 Cd 2.89-3.09, 3 Sc 3.14-3.21
7 Cd 0.1220 0.3686 0.2684  5 Cd 2.89-3.09, 3 Sc 3.14-3.21
8 Cd 0.2525 0.4836 0.0000  4 Cd 2.61-2.92
9 Sc 0.6865 0.6865 0.3731  12 Cd 3.08-3.21
10 Sc 0.3135 0.3135 0.6269  12 Cd 3.08-3.21
11 Er 0.5000 0.0000 0.0000  6 Cd 3.12-3.39

---

Entry 3:
Below is Er3ScCd7 after structural relaxation, with properties calculated at the PBE-GGA level.

- total DFT energy (no corrections) (eV/atom) = -2.60
- SG = No. 63

Unit cell a=3.4665 b=10.1861 c=15.5398 alpha=90.00 beta=90.00 gamma=99.80
Last column: nearest neighbours and their distance in Å.
Fractional positions:
1 Cd 0.6910 0.3819 0.0441  6 Cd 3.00-3.24, 3 Er 3.20-3.24
2 Cd 0.3090 0.6181 0.5441  6 Cd 3.00-3.24, 3 Er 3.20-3.24
3 Cd 0.2821 0.5641 0.3506  5 Cd 3.00-3.13, 2 Sc 3.09, 2 Er 3.30
4 Cd 0.4238 0.8477 0.4113  3 Cd 3.00-3.09, 2 Sc 3.16, 4 Er 3.27
5 Cd 0.5762 0.1523 0.9113  3 Cd 3.00-3.09, 2 Sc 3.16, 4 Er 3.27
6 Cd 0.2821 0.5641 0.1494  5 Cd 3.00-3.13, 2 Sc 3.09, 2 Er 3.30
7 Cd 0.5116 0.0231 0.2500  2 Cd 3.06, 5 Er 3.10-3.21, 2 Sc 3.11
8 Cd 0.4884 0.9769 0.7500  2 Cd 3.06, 5 Er 3.10-3.21, 2 Sc 3.11
9 Cd 0.4238 0.8477 0.0887  3 Cd 3.00-3.09, 2 Sc 3.16, 4 Er 3.27
10 Cd 0.5762 0.1523 0.5887  3 Cd 3.00-3.09, 2 Sc 3.16, 4 Er 3.27
11 Cd 0.3090 0.6181 0.9559  6 Cd 3.00-3.24, 3 Er 3.20-3.24
12 Cd 0.7179 0.4359 0.6494  5 Cd 3.00-3.13, 2 Sc 3.09, 2 Er 3.30
13 Cd 0.7179 0.4359 0.8506  5 Cd 3.00-3.13, 2 Sc 3.09, 2 Er 3.30
14 Cd 0.6910 0.3819 0.4559  6 Cd 3.00-3.24, 3 Er 3.20-3.24
15 Sc 0.1173 0.2346 0.7500  10 Cd 3.09-3.16
16 Sc 0.8827 0.7654 0.2500  10 Cd 3.09-3.16
17 Er 0.6658 0.3316 0.2500  7 Cd 3.10-3.30, 2 Er 3.47
18 Er 0.0618 0.1235 0.4113  8 Cd 3.20-3.27, 2 Er 3.47
19 Er 0.9382 0.8765 0.5887  8 Cd 3.20-3.27, 2 Er 3.47
20 Er 0.0618 0.1235 0.0887  8 Cd 3.20-3.27, 2 Er 3.47
21 Er 0.3342 0.6684 0.7500  7 Cd 3.10-3.30, 2 Er 3.47
22 Er 0.9382 0.8765 0.9113  8 Cd 3.20-3.27, 2 Er 3.47

---

Entry 4:
Below is ErScCd4 after structural relaxation, with properties calculated at the PBE-GGA level.

- total DFT energy (no corrections) (eV/atom) = -2.61
- SG = No. 216
- E above lowest polymorph (meV/atom) = 73

Unit cell a=5.8088 b=5.8088 c=5.8088 alpha=60.00 beta=60.00 gamma=60.00
Last column: nearest neighbours and their distance in Å.
Fractional positions:
1 Cd 0.1246 0.6251 0.6251  6 Cd 2.90-2.91
2 Cd 0.6251 0.6251 0.1246  6 Cd 2.90-2.91
3 Cd 0.6251 0.6251 0.6251  6 Cd 2.90-2.91
4 Cd 0.6251 0.1246 0.6251  6 Cd 2.90-2.91
5 Er 0.2500 0.2500 0.2500  12 Cd 3.41, 4 Sc 3.56
6 Sc 0.0000 0.0000 0.0000  12 Cd 3.41, 4 Er 3.56

---

Entry 5:
Below is ErScCd2 after structural relaxation, with properties calculated at the PBE-GGA level.

- total DFT energy (no corrections) (eV/atom) = -3.48
- SG = No. 225
- E above lowest polymorph (meV/atom) = 0

Unit cell a=5.1289 b=5.1289 c=5.1289 alpha=60.00 beta=60.00 gamma=60.00
Last column: nearest neighbours and their distance in Å.
Fractional positions:
1 Sc 0.5000 0.5000 0.5000  8 Cd 3.14
2 Er 0.0000 0.0000 0.0000  8 Cd 3.14
3 Cd 0.2500 0.2500 0.2500  4 Er 3.14, 4 Sc 3.14
4 Cd 0.7500 0.7500 0.7500  4 Er 3.14, 4 Sc 3.14

---

Entry 6:
Below is ErScCd2 after structural relaxation, with properties calculated at the PBE-GGA level.

- total DFT energy (no corrections) (eV/atom) = -3.48
- SG = No. 123
- E above lowest polymorph (meV/atom) = 0

Unit cell a=3.6069 b=3.6069 c=7.3204 alpha=90.00 beta=90.00 gamma=90.00
Last column: nearest neighbours and their distance in Å.
Fractional positions:
1 Cd 0.0000 0.0000 0.2322  4 Sc 3.07, 4 Er 3.22, 1 Cd 3.40
2 Cd 0.0000 0.0000 0.7678  4 Sc 3.07, 4 Er 3.22, 1 Cd 3.40
3 Er 0.5000 0.5000 0.5000  8 Cd 3.22
4 Sc 0.5000 0.5000 0.0000  8 Cd 3.07

---

Entry 7:
Below is Er2ScCd6 after structural relaxation, with properties calculated at the PBE-GGA level.

- total DFT energy (no corrections) (eV/atom) = -2.60
- SG = No. 191

Unit cell a=3.3405 b=8.5358 c=8.5358 alpha=120.00 beta=90.00 gamma=90.00
Last column: nearest neighbours and their distance in Å.
Fractional positions:
1 Er 0.0000 0.6667 0.3333  12 Cd 3.31, 2 Er 3.34
2 Er 0.0000 0.3333 0.6667  12 Cd 3.31, 2 Er 3.34
3 Cd 0.5000 0.3304 0.0000  3 Cd 2.82-2.90
4 Cd 0.5000 0.0000 0.3304  3 Cd 2.82-2.90
5 Cd 0.5000 0.6696 0.6696  3 Cd 2.82-2.90
6 Cd 0.5000 0.3304 0.3304  3 Cd 2.82-2.90
7 Cd 0.5000 0.6696 0.0000  3 Cd 2.82-2.90
8 Cd 0.5000 0.0000 0.6696  3 Cd 2.82-2.90
9 Sc 0.0000 0.0000 0.0000  12 Cd 3.28, 2 Sc 3.34

---

Entry 8:
Below is ErSc5Cd after structural relaxation, with properties calculated at the PBE-GGA level.

- total DFT energy (no corrections) (eV/atom) = -5.16
- SG = No. 15

Unit cell a=6.3515 b=6.3515 c=11.8189 alpha=68.27 beta=68.27 gamma=55.68
Last column: nearest neighbours and their distance in Å.
Fractional positions:
1 Sc 0.2545 0.2375 0.2993  1 Cd 2.79, 2 Sc 3.01-3.08, 1 Er 3.08
2 Sc 0.7517 0.2483 0.7500  2 Er 2.85-3.09, 2 Sc 3.08
3 Sc 0.6781 0.6535 0.4788  3 Sc 3.01-3.28
4 Sc 0.2375 0.2545 0.7993  1 Cd 2.79, 2 Sc 3.01-3.08, 1 Er 3.08
5 Sc 0.3219 0.3465 0.5212  3 Sc 3.01-3.28
6 Sc 0.3465 0.3219 0.0212  3 Sc 3.01-3.28
7 Sc 0.7455 0.7625 0.7007  1 Cd 2.79, 2 Sc 3.01-3.08, 1 Er 3.08
8 Sc 0.6535 0.6781 0.9788  3 Sc 3.01-3.28
9 Sc 0.7625 0.7455 0.2007  1 Cd 2.79, 2 Sc 3.01-3.08, 1 Er 3.08
10 Sc 0.2483 0.7517 0.2500  2 Er 2.85-3.09, 2 Sc 3.08
11 Cd 0.0000 0.0000 0.0000  2 Sc 2.79
12 Cd 0.0000 0.0000 0.5000  2 Sc 2.79
13 Er 0.2314 0.7686 0.7500  4 Sc 2.85-3.09
14 Er 0.7686 0.2314 0.2500  4 Sc 2.85-3.09

---

Entry 9:
Below is Er2Sc2Cd after structural relaxation, with properties calculated at the PBE-GGA level.

- total DFT energy (no corrections) (eV/atom) = -4.44
- SG = No. 141
- E above lowest polymorph (meV/atom) = 156

Unit cell a=4.8611 b=4.8611 c=12.5621 alpha=101.16 beta=101.16 gamma=90.00
Last column: nearest neighbours and their distance in Å.
Fractional positions:
1 Er 0.0769 0.5769 0.1539  2 Cd 3.06, 2 Er 3.36, 2 Sc 3.38
2 Er 0.3269 0.3269 0.6539  2 Cd 3.06, 2 Er 3.36, 2 Sc 3.38
3 Er 0.4231 0.9231 0.8461  2 Cd 3.06, 2 Er 3.36, 2 Sc 3.38
4 Er 0.6731 0.6731 0.3461  2 Cd 3.06, 2 Er 3.36, 2 Sc 3.38
5 Sc 0.5758 0.0758 0.1516  2 Cd 3.04, 2 Er 3.38, 2 Sc 3.40
6 Sc 0.1742 0.1742 0.3484  2 Cd 3.04, 2 Er 3.38, 2 Sc 3.40
7 Sc 0.8258 0.8258 0.6516  2 Cd 3.04, 2 Er 3.38, 2 Sc 3.40
8 Sc 0.9242 0.4242 0.8484  2 Cd 3.04, 2 Er 3.38, 2 Sc 3.40
9 Cd 0.5000 0.5000 0.0000  4 Sc 3.04, 4 Er 3.06
10 Cd 0.2500 0.7500 0.5000  4 Sc 3.04, 4 Er 3.06

---

Entry 10:
Below is ErScCd6 after structural relaxation, with properties calculated at the PBE-GGA level.

- total DFT energy (no corrections) (eV/atom) = -2.28
- SG = No. 38

Unit cell a=4.8135 b=6.3828 c=6.3828 alpha=112.33 beta=90.00 gamma=90.00
Last column: nearest neighbours and their distance in Å.
Fractional positions:
1 Cd 0.5000 0.9306 0.0694  8 Cd 3.00-3.34, 2 Sc 3.13
2 Cd 0.5000 0.4325 0.1269  7 Cd 2.99-3.34, 2 Er 3.13-3.28, 2 Sc 3.14
3 Cd 0.0000 0.0620 0.3724  7 Cd 3.00-3.26, 2 Sc 3.13-3.29, 2 Er 3.16
4 Cd 0.5000 0.8731 0.5675  7 Cd 2.99-3.34, 2 Er 3.13-3.28, 2 Sc 3.14
5 Cd 0.0000 0.5745 0.4255  8 Cd 2.99-3.26, 2 Er 3.16
6 Cd 0.0000 0.6276 0.9380  7 Cd 3.00-3.26, 2 Sc 3.13-3.29, 2 Er 3.16
7 Er 0.5000 0.3808 0.6192  10 Cd 3.13-3.28
8 Sc 0.0000 0.1187 0.8813  10 Cd 3.13-3.29